No. 1
Material: Ca4SmSe5
Method: DFT, PBE
State: optimized geometry

VASP energy, eV per atom: -4.993
Raw formation energy, kJ/mol of atoms: -190.9
M_tot, μB/f.u.: 0.0
Relative energy among the computed polymorphs, meV/atom: 0
Crystal system: tetragonal
SG: I4/mmm (139)

Cell lengths 4.1954, 4.1954, 15.1905 Å; angles 97.94, 97.94, 90.00 degrees
Fractional coordinates of all 10 atoms:
Se (0.0997, 0.0997, 0.1994)
Ca (0.4001, 0.4001, 0.8001)
Ca (0.5999, 0.5999, 0.1999)
Se (0.6998, 0.6998, 0.3996)
Sm (0.0000, 0.0000, 0.0000)
Ca (0.2001, 0.2001, 0.4002)
Ca (0.7999, 0.7999, 0.5998)
Se (0.5000, 0.5000, 0.0000)
Se (0.3002, 0.3002, 0.6004)
Se (0.9003, 0.9003, 0.8006)

=====

No. 2
Material: SmSi2PtRh2
Method: DFT, PBE
State: optimized geometry

VASP energy, eV per atom: -6.436
Raw formation energy, kJ/mol of atoms: -37.1
M_tot, μB/f.u.: 0.0
Crystal system: tetragonal
SG: P4/mmm (123)

Cell lengths 4.5196, 4.5196, 5.5999 Å; angles 90.00, 90.00, 90.00 degrees
Fractional coordinates of all 6 atoms:
Si (0.5000, 0.0000, 0.0000)
Pt (0.0000, 0.0000, 0.0000)
Rh (0.5000, 0.5000, 0.7506)
Rh (0.5000, 0.5000, 0.2494)
Si (0.0000, 0.5000, 0.0000)
Sm (0.0000, 0.0000, 0.5000)